1.
Below is a relaxed structure of TlCd5, with properties calculated at the PBEsol level.

abc: 5.4930 8.0592 8.0592
angles: 21.96 90.00 90.00
Positions (direct):
Tl 0.0000 0.0000 0.0000
Cd 0.0000 0.3286 0.3286
Cd 0.0000 0.6712 0.6712
Cd 0.5000 0.2170 0.2170
Cd 0.5000 0.5529 0.5529
Cd 0.5000 0.8836 0.8836

Calculated values
- E_form: 0.0555 eV/atom
- Magnetization: 0.000 μB per cell
- DOS(E_F): 2.00 states/eV/cell
- SG: No. 38

2.
Below is a relaxed structure of TlPbSe2, with properties calculated at the PBEsol level.

abc: 4.1433 6.9894 6.9894
angles: 33.37 90.00 90.00
Positions (direct):
Tl 0.0000 0.0000 0.0000
Pb 0.5000 0.2281 0.2281
Se 0.0000 0.7942 0.7942
Se 0.5000 0.5425 0.5425

Calculated values
- Magnetization: 0.000 μB per cell
- DOS(E_F): 0.66 states/eV/cell
- SG: No. 38
- Raw formation energy: -0.318 eV/atom

3.
Below is a relaxed structure of CaCd2Pd2, with properties calculated at the PBEsol level.

abc: 7.8848 7.8848 3.0659
angles: 90.00 90.00 90.00
Positions (direct):
Ca 0.0000 0.0000 0.0000
Ca 0.5000 0.5000 0.0000
Cd 0.1253 0.3747 0.0000
Cd 0.3747 0.8747 0.0000
Cd 0.6253 0.1253 0.0000
Cd 0.8747 0.6253 0.0000
Pd 0.1730 0.6730 0.5000
Pd 0.3270 0.1730 0.5000
Pd 0.6730 0.8270 0.5000
Pd 0.8270 0.3270 0.5000

Calculated values
- E_form: -0.4383 eV/atom
- Magnetization: 0.000 μB per cell
- DOS(E_F): 4.11 states/eV/cell
- SG: No. 127

4.
Below is a relaxed structure of MnOsPdPt2, with properties calculated at the PBEsol level.

abc: 4.4261 4.4261 4.3422
angles: 90.00 90.00 90.00
Positions (direct):
Mn 0.0000 0.0000 0.0000
Os 0.5000 0.5000 0.5000
Pd 0.0000 0.0000 0.5000
Pt 0.0000 0.5000 0.0000
Pt 0.5000 0.0000 0.0000

Calculated values
- E_form: 1.6880 eV/atom
- Magnetization: 3.252 μB per cell
- DOS(E_F): 9.88 states/eV/cell
- SG: No. 123

5.
Below is a relaxed structure of Li3VOF5, with properties calculated at the PBEsol level.

abc: 4.9691 5.1846 8.9488
angles: 90.00 123.65 90.00
Positions (direct):
Li 0.0000 0.2034 0.0000
Li 0.0000 0.7966 0.5000
Li 0.2581 0.2572 0.7714
Li 0.2581 0.7428 0.2714
Li 0.4846 0.2872 0.5028
Li 0.4846 0.7128 0.0028
V 0.7431 0.2456 0.2760
V 0.7431 0.7544 0.7760
O 0.4108 0.3894 0.2280
O 0.4108 0.6106 0.7280
F 0.0501 0.4778 0.8688
F 0.0501 0.5222 0.3688
F 0.1490 0.0372 0.3595
F 0.1490 0.9628 0.8595
F 0.5655 0.1002 0.7183
F 0.5655 0.8998 0.2183
F 0.6853 0.3160 0.0483
F 0.6853 0.6840 0.5483
F 0.8812 0.1679 0.5230
F 0.8812 0.8321 0.0230

Calculated values
- Magnetization: 2.000 μB per cell
- SG: No. 7
- Raw formation energy: -2.839 eV/atom

6.
Below is a relaxed structure of Sr2LiH2, with properties calculated at the PBEsol level.

abc: 7.6064 7.6064 7.6064
angles: 148.26 148.26 45.51
Positions (direct):
Sr 0.1573 0.1573 0.0000
Sr 0.8427 0.8427 0.0000
Li 0.5000 0.5000 0.0000
H 0.2500 0.7500 0.5000
H 0.7500 0.2500 0.5000

Calculated values
- VASP energy: -0.20250 Ry per atom
- Magnetization: 0.000 μB per cell
- DOS(E_F): 2.40 states/eV/cell
- SG: No. 139

7.
Below is a relaxed structure of Y2MnMo, with properties calculated at the PBEsol level.

abc: 3.1095 3.1095 8.4578
angles: 90.00 90.00 90.00
Positions (direct):
Y 0.0000 0.0000 0.0000
Y 0.5000 0.5000 0.3752
Mn 0.0000 0.0000 0.6081
Mo 0.5000 0.5000 0.7471

Calculated values
- E_form: 0.2122 eV/atom
- Magnetization: 0.001 μB per cell
- DOS(E_F): 4.77 states/eV/cell
- SG: No. 99

8.
Below is a relaxed structure of Sc2BI, with properties calculated at the PBEsol level.

abc: 4.7182 4.7182 4.7182
angles: 60.00 60.00 60.00
Positions (direct):
Sc 0.2500 0.2500 0.2500
Sc 0.7500 0.7500 0.7500
B 0.0000 0.0000 0.0000
I 0.5000 0.5000 0.5000

Calculated values
- Magnetization: 0.000 μB per cell
- DOS(E_F): 3.37 states/eV/cell
- SG: No. 225
- Raw formation energy: 0.187 eV/atom